1.
{
  "formula": "KZr2As2",
  "functional": "GGA-PBE",
  "state": "optimized geometry",
  "lattice_angstrom": [[-2.288, 2.288, 6.996], [2.288, -2.288, 6.996], [2.288, 2.288, -6.996]],
  "species": ["K", "Zr", "Zr", "As", "As"],
  "frac_coords": [[0.000, 0.000, 0.000], [0.250, 0.750, 0.500], [0.750, 0.250, 0.500], [0.353, 0.353, 0.000], [0.647, 0.647, 0.000]],
  "vol_a3_per_atom": 29.29,
  "total_energy_ev_per_atom": -6.19
}


2.
{
  "formula": "K2GeTe",
  "functional": "GGA-PBE",
  "state": "optimized geometry",
  "lattice_angstrom": [[-4.753, 4.753, 3.130], [4.753, -4.753, 3.130], [4.753, 4.753, -3.130]],
  "species": ["K", "K", "K", "K", "Ge", "Ge", "Te", "Te"],
  "frac_coords": [[0.125, 0.625, 0.000], [0.375, 0.375, 0.500], [0.625, 0.125, 0.000], [0.875, 0.875, 0.500], [0.000, 0.000, 0.000], [0.750, 0.250, 0.500], [0.250, 0.750, 0.500], [0.500, 0.500, 0.000]],
  "raw_formation_energy_mev_per_atom": -125,
  "vol_a3_per_atom": 35.35,
  "total_energy_ev_per_atom": -2.61,
  "e_above_lowest_polymorph_kj_per_mol_atoms": 1.0
}


3.
{
  "formula": "SbRhBr2",
  "functional": "GGA-PBE",
  "state": "optimized geometry",
  "lattice_angstrom": [[3.526, -3.537, 0.000], [3.526, 3.537, 0.000], [0.000, 0.000, 3.571]],
  "species": ["Sb", "Rh", "Br", "Br"],
  "frac_coords": [[0.000, 0.000, 0.000], [0.500, 0.500, 0.000], [0.000, 0.500, 0.500], [0.500, 0.000, 0.500]],
  "raw_formation_energy_mev_per_atom": 571,
  "vol_a3_per_atom": 22.26,
  "total_energy_ev_per_atom": -3.13,
  "e_above_lowest_polymorph_kj_per_mol_atoms": 97.7
}


4.
{
  "formula": "BaHf2GeI",
  "functional": "GGA-PBE",
  "state": "optimized geometry",
  "lattice_angstrom": [[5.587, 0.000, 0.000], [0.000, 5.587, 0.000], [0.000, 0.000, 5.548]],
  "species": ["Ba", "Hf", "Hf", "Ge", "I"],
  "frac_coords": [[0.000, 0.000, 0.000], [0.000, 0.500, 0.000], [0.500, 0.000, 0.000], [0.000, 0.000, 0.500], [0.500, 0.500, 0.500]],
  "raw_formation_energy_mev_per_atom": 1839,
  "vol_a3_per_atom": 34.64,
  "total_energy_ev_per_atom": -3.76
}


5.
{
  "formula": "Sm6SiSe12",
  "functional": "GGA-PBE",
  "state": "optimized geometry",
  "lattice_angstrom": [[6.219, 3.591, 3.930], [-6.219, 3.591, 3.930], [0.000, -7.181, 3.930]],
  "species": ["Sm", "Sm", "Sm", "Sm", "Sm", "Sm", "Si", "Se", "Se", "Se", "Se", "Se", "Se", "Se", "Se", "Se", "Se", "Se", "Se"],
  "frac_coords": [[0.131, 0.635, 0.295], [0.295, 0.131, 0.635], [0.365, 0.705, 0.869], [0.635, 0.295, 0.131], [0.705, 0.869, 0.365], [0.869, 0.365, 0.705], [0.000, 0.000, 0.000], [0.020, 0.694, 0.945], [0.055, 0.980, 0.306], [0.182, 0.440, 0.576], [0.306, 0.055, 0.980], [0.424, 0.818, 0.560], [0.440, 0.576, 0.182], [0.560, 0.424, 0.818], [0.576, 0.182, 0.440], [0.694, 0.945, 0.020], [0.818, 0.560, 0.424], [0.945, 0.020, 0.694], [0.980, 0.306, 0.055]],
  "raw_formation_energy_mev_per_atom": -1441,
  "vol_a3_per_atom": 27.72,
  "total_energy_ev_per_atom": -5.42
}


6.
{
  "formula": "ZrCo2P3",
  "functional": "GGA-PBE",
  "state": "optimized geometry",
  "lattice_angstrom": [[5.152, 0.000, 0.000], [-2.576, 4.462, 0.000], [0.000, 0.000, 3.509]],
  "species": ["Zr", "Co", "Co", "P", "P", "P"],
  "frac_coords": [[0.000, 0.000, 0.000], [0.333, 0.667, 0.000], [0.667, 0.333, 0.000], [0.000, 0.500, 0.500], [0.500, 0.000, 0.500], [0.500, 0.500, 0.500]],
  "vol_a3_per_atom": 13.44,
  "total_energy_ev_per_atom": -6.76
}


7.
{
  "formula": "CoHSeBr",
  "functional": "GGA-PBE",
  "state": "optimized geometry",
  "lattice_angstrom": [[3.676, 0.000, 0.000], [1.837, 3.189, 0.000], [0.018, 0.083, 6.351]],
  "species": ["Co", "H", "Se", "Br"],
  "frac_coords": [[0.000, 0.000, 0.000], [0.337, 0.321, 0.402], [0.335, 0.329, 0.163], [0.665, 0.674, 0.762]],
  "vol_a3_per_atom": 18.61,
  "total_energy_ev_per_atom": -4.01,
  "e_above_lowest_polymorph_kj_per_mol_atoms": 0.0
}


8.
{
  "formula": "FeTc2Ni",
  "functional": "GGA-PBE",
  "state": "optimized geometry",
  "lattice_angstrom": [[2.605, 0.000, 0.000], [0.000, 3.715, 0.000], [0.000, 0.000, 5.204]],
  "species": ["Fe", "Tc", "Tc", "Ni"],
  "frac_coords": [[0.000, 0.000, 0.000], [0.500, 0.500, 0.244], [0.500, 0.500, 0.756], [0.000, 0.000, 0.500]],
  "vol_a3_per_atom": 12.59,
  "total_energy_ev_per_atom": -8.68,
  "e_above_lowest_polymorph_kj_per_mol_atoms": 7.9
}


9.
{
  "formula": "Li2Hg",
  "functional": "GGA-PBE",
  "state": "optimized geometry",
  "lattice_angstrom": [[-3.187, 3.187, 2.997], [3.187, -3.187, 2.997], [3.187, 3.187, -2.997]],
  "species": ["Li", "Li", "Li", "Li", "Hg", "Hg"],
  "frac_coords": [[0.162, 0.662, 0.824], [0.338, 0.162, 0.500], [0.662, 0.838, 0.500], [0.838, 0.338, 0.176], [0.250, 0.250, 0.000], [0.750, 0.750, 0.000]],
  "vol_a3_per_atom": 20.30,
  "total_energy_ev_per_atom": -1.61
}


10.
{
  "formula": "YZr3Te6",
  "functional": "GGA-PBE",
  "state": "optimized geometry",
  "lattice_angstrom": [[11.934, 0.000, 0.000], [0.000, 4.037, 0.000], [-4.115, 0.000, 11.800]],
  "species": ["Y", "Y", "Zr", "Zr", "Zr", "Zr", "Zr", "Zr", "Te", "Te", "Te", "Te", "Te", "Te", "Te", "Te", "Te", "Te", "Te", "Te"],
  "frac_coords": [[0.052, 0.250, 0.199], [0.948, 0.750, 0.801], [0.120, 0.250, 0.568], [0.319, 0.750, 0.987], [0.443, 0.250, 0.367], [0.557, 0.750, 0.633], [0.681, 0.250, 0.013], [0.880, 0.750, 0.432], [0.107, 0.750, 0.399], [0.122, 0.250, 0.971], [0.189, 0.750, 0.746], [0.276, 0.750, 0.218], [0.375, 0.250, 0.573], [0.486, 0.250, 0.124], [0.514, 0.750, 0.876], [0.625, 0.750, 0.427], [0.724, 0.250, 0.782], [0.811, 0.250, 0.254], [0.878, 0.750, 0.029], [0.893, 0.250, 0.601]],
  "raw_formation_energy_mev_per_atom": -932,
  "vol_a3_per_atom": 28.42,
  "total_energy_ev_per_atom": -6.03
}


11.
{
  "formula": "V4Mo2N",
  "functional": "GGA-PBE",
  "state": "optimized geometry",
  "lattice_angstrom": [[-1.874, 1.874, 6.983], [1.874, -1.874, 6.983], [1.874, 1.874, -6.983]],
  "species": ["V", "V", "V", "V", "Mo", "Mo", "N"],
  "frac_coords": [[0.000, 0.500, 0.500], [0.144, 0.144, 0.000], [0.500, 0.000, 0.500], [0.856, 0.856, 0.000], [0.325, 0.325, 0.000], [0.675, 0.675, 0.000], [0.000, 0.000, 0.000]],
  "raw_formation_energy_mev_per_atom": -3,
  "vol_a3_per_atom": 14.01,
  "total_energy_ev_per_atom": -9.50
}


12.
{
  "formula": "Mg2Cd4In5",
  "functional": "GGA-PBE",
  "state": "optimized geometry",
  "lattice_angstrom": [[11.218, -1.656, 0.000], [11.218, 1.656, 0.000], [-0.116, 0.000, 7.442]],
  "species": ["Mg", "Mg", "Cd", "Cd", "Cd", "Cd", "In", "In", "In", "In", "In"],
  "frac_coords": [[0.085, 0.085, 0.250], [0.915, 0.915, 0.750], [0.044, 0.044, 0.646], [0.348, 0.348, 0.473], [0.652, 0.652, 0.527], [0.956, 0.956, 0.354], [0.153, 0.153, 0.900], [0.230, 0.230, 0.254], [0.500, 0.500, 0.000], [0.770, 0.770, 0.746], [0.847, 0.847, 0.100]],
  "vol_a3_per_atom": 25.14,
  "total_energy_ev_per_atom": -1.85
}


13.
{
  "formula": "CaTa2Tc",
  "functional": "GGA-PBE",
  "state": "optimized geometry",
  "lattice_angstrom": [[3.295, 0.000, 0.000], [0.000, 4.729, 0.000], [0.000, 0.000, 4.834]],
  "species": ["Ca", "Ta", "Ta", "Tc"],
  "frac_coords": [[0.000, 0.000, 0.000], [0.000, 0.500, 0.500], [0.500, 0.000, 0.500], [0.500, 0.500, 0.000]],
  "vol_a3_per_atom": 18.83,
  "total_energy_ev_per_atom": -8.38,
  "e_above_lowest_polymorph_kj_per_mol_atoms": 35.9
}


14.
{
  "formula": "HfZrSi2",
  "functional": "GGA-PBE",
  "state": "optimized geometry",
  "lattice_angstrom": [[-3.602, 3.602, 2.944], [3.602, -3.602, 2.944], [3.602, 3.602, -2.944]],
  "species": ["Hf", "Hf", "Zr", "Zr", "Si", "Si", "Si", "Si"],
  "frac_coords": [[0.000, 0.000, 0.000], [0.750, 0.250, 0.500], [0.250, 0.750, 0.500], [0.500, 0.500, 0.000], [0.123, 0.625, 0.998], [0.375, 0.373, 0.498], [0.627, 0.125, 0.002], [0.875, 0.877, 0.502]],
  "raw_formation_energy_mev_per_atom": -354,
  "vol_a3_per_atom": 19.09,
  "total_energy_ev_per_atom": -7.69,
  "e_above_lowest_polymorph_kj_per_mol_atoms": 50.5
}


15.
{
  "formula": "LiMg3Ga8",
  "functional": "GGA-PBE",
  "state": "optimized geometry",
  "lattice_angstrom": [[5.448, 0.000, 0.000], [-2.724, 4.718, 0.000], [0.000, 0.000, 8.849]],
  "species": ["Li", "Mg", "Mg", "Mg", "Ga", "Ga", "Ga", "Ga", "Ga", "Ga", "Ga", "Ga"],
  "frac_coords": [[0.000, 0.000, 0.000], [0.000, 0.000, 0.366], [0.667, 0.333, 0.497], [0.667, 0.333, 0.875], [0.161, 0.321, 0.687], [0.161, 0.839, 0.687], [0.333, 0.667, 0.434], [0.333, 0.667, 0.937], [0.506, 0.011, 0.183], [0.506, 0.494, 0.183], [0.679, 0.839, 0.687], [0.989, 0.494, 0.183]],
  "vol_a3_per_atom": 18.96,
  "total_energy_ev_per_atom": -2.69,
  "e_above_lowest_polymorph_kj_per_mol_atoms": 0.0
}


16.
{
  "formula": "PmNdSm5",
  "functional": "GGA-PBE",
  "state": "optimized geometry",
  "lattice_angstrom": [[-4.014, 5.890, 3.141], [4.014, -5.890, 3.141], [4.014, 5.890, -3.141]],
  "species": ["Pm", "Nd", "Sm", "Sm", "Sm", "Sm", "Sm"],
  "frac_coords": [[0.000, 0.000, 0.000], [0.234, 0.734, 0.500], [0.467, 0.467, 0.000], [0.484, 0.732, 0.752], [0.734, 0.054, 0.320], [0.734, 0.413, 0.680], [0.981, 0.732, 0.248]],
  "vol_a3_per_atom": 42.43,
  "total_energy_ev_per_atom": -3.86,
  "e_above_lowest_polymorph_kj_per_mol_atoms": 67.6
}


17.
{
  "formula": "Er2HgSb",
  "functional": "GGA-PBE",
  "state": "optimized geometry",
  "lattice_angstrom": [[2.061, -11.883, 0.000], [2.061, 11.883, 0.000], [0.000, 0.000, 4.533]],
  "species": ["Er", "Er", "Er", "Er", "Hg", "Hg", "Sb", "Sb"],
  "frac_coords": [[0.064, 0.936, 0.750], [0.319, 0.681, 0.750], [0.681, 0.319, 0.250], [0.936, 0.064, 0.250], [0.456, 0.544, 0.750], [0.544, 0.456, 0.250], [0.190, 0.810, 0.750], [0.810, 0.190, 0.250]],
  "raw_formation_energy_mev_per_atom": -729,
  "vol_a3_per_atom": 27.75,
  "total_energy_ev_per_atom": -4.12,
  "e_above_lowest_polymorph_kj_per_mol_atoms": 0.0
}


18.
{
  "formula": "TaAlAu2",
  "functional": "GGA-PBE",
  "state": "optimized geometry",
  "lattice_angstrom": [[4.834, -1.462, 0.000], [4.834, 1.462, 0.000], [-1.402, 0.000, 4.918]],
  "species": ["Ta", "Al", "Au", "Au"],
  "frac_coords": [[0.000, 0.000, 0.000], [0.739, 0.739, 0.277], [0.240, 0.240, 0.765], [0.471, 0.471, 0.483]],
  "vol_a3_per_atom": 17.38,
  "total_energy_ev_per_atom": -5.63
}


19.
{
  "formula": "Mg6NiSn",
  "functional": "GGA-PBE",
  "state": "optimized geometry",
  "lattice_angstrom": [[4.893, 0.000, 0.000], [0.000, 3.198, 5.211], [0.000, -3.198, 5.211]],
  "species": ["Mg", "Mg", "Mg", "Mg", "Mg", "Mg", "Ni", "Sn"],
  "frac_coords": [[0.000, 0.000, 0.000], [0.000, 0.023, 0.483], [0.000, 0.483, 0.023], [0.000, 0.494, 0.494], [0.500, 0.326, 0.820], [0.500, 0.820, 0.326], [0.500, 0.333, 0.333], [0.500, 0.825, 0.825]],
  "vol_a3_per_atom": 20.39,
  "total_energy_ev_per_atom": -2.44
}


20.
{
  "formula": "Tb2Al3AgAu4",
  "functional": "GGA-PBE",
  "state": "optimized geometry",
  "lattice_angstrom": [[4.250, 0.000, 0.000], [0.000, 4.250, 0.000], [0.000, 0.000, 11.300]],
  "species": ["Tb", "Tb", "Al", "Al", "Al", "Ag", "Au", "Au", "Au", "Au"],
  "frac_coords": [[0.000, 0.500, 0.246], [0.500, 0.000, 0.754], [0.000, 0.500, 0.873], [0.500, 0.000, 0.127], [0.500, 0.500, 0.500], [0.000, 0.000, 0.500], [0.000, 0.000, 0.000], [0.000, 0.500, 0.655], [0.500, 0.000, 0.345], [0.500, 0.500, 0.000]],
  "vol_a3_per_atom": 20.41,
  "total_energy_ev_per_atom": -4.24
}


21.
{
  "formula": "HfSn2MoSe",
  "functional": "GGA-PBE",
  "state": "optimized geometry",
  "lattice_angstrom": [[5.594, 0.000, 0.000], [0.000, 5.594, 0.000], [0.000, 0.000, 4.994]],
  "species": ["Hf", "Sn", "Sn", "Mo", "Se"],
  "frac_coords": [[0.000, 0.000, 0.000], [0.000, 0.500, 0.000], [0.500, 0.000, 0.000], [0.500, 0.500, 0.500], [0.000, 0.000, 0.500]],
  "raw_formation_energy_mev_per_atom": 895,
  "vol_a3_per_atom": 31.26,
  "total_energy_ev_per_atom": -5.56
}


22.
{
  "formula": "MnCr2Ag",
  "functional": "GGA-PBE",
  "state": "optimized geometry",
  "lattice_angstrom": [[2.617, 0.000, 0.000], [0.000, 2.617, 0.000], [0.000, 0.000, 7.622]],
  "species": ["Mn", "Cr", "Cr", "Ag"],
  "frac_coords": [[0.000, 0.000, 0.000], [0.500, 0.500, 0.209], [0.500, 0.500, 0.791], [0.000, 0.000, 0.500]],
  "vol_a3_per_atom": 13.05,
  "total_energy_ev_per_atom": -7.38,
  "e_above_lowest_polymorph_kj_per_mol_atoms": 13.8
}


23.
{
  "formula": "NiP",
  "functional": "GGA-PBE",
  "state": "optimized geometry",
  "lattice_angstrom": [[6.166, 0.000, 0.000], [0.000, 6.166, 0.000], [0.000, 0.000, 6.166]],
  "species": ["Ni", "Ni", "Ni", "Ni", "Ni", "Ni", "P", "P", "P", "P", "P", "P"],
  "frac_coords": [[0.000, 0.250, 0.500], [0.000, 0.750, 0.500], [0.250, 0.500, 0.000], [0.500, 0.000, 0.250], [0.500, 0.000, 0.750], [0.750, 0.500, 0.000], [0.000, 0.500, 0.250], [0.000, 0.500, 0.750], [0.250, 0.000, 0.500], [0.500, 0.250, 0.000], [0.500, 0.750, 0.000], [0.750, 0.000, 0.500]],
  "vol_a3_per_atom": 19.54,
  "total_energy_ev_per_atom": -5.60
}


24.
{
  "formula": "BeAgSb2",
  "functional": "GGA-PBE",
  "state": "optimized geometry",
  "lattice_angstrom": [[2.141, -2.605, 0.000], [2.141, 2.605, 0.000], [0.000, 0.000, 8.003]],
  "species": ["Be", "Ag", "Sb", "Sb"],
  "frac_coords": [[0.000, 0.000, 0.000], [0.500, 0.500, 0.150], [0.000, 0.000, 0.383], [0.500, 0.500, 0.803]],
  "raw_formation_energy_mev_per_atom": 289,
  "vol_a3_per_atom": 22.32,
  "total_energy_ev_per_atom": -3.42
}


25.
{
  "formula": "TaSb2As",
  "functional": "GGA-PBE",
  "state": "optimized geometry",
  "lattice_angstrom": [[-1.901, 1.927, 6.838], [1.901, -1.927, 6.838], [1.901, 1.927, -6.838]],
  "species": ["Ta", "Sb", "Sb", "As"],
  "frac_coords": [[0.000, 0.000, 0.000], [0.412, 0.412, 0.000], [0.678, 0.178, 0.500], [0.138, 0.638, 0.500]],
  "raw_formation_energy_mev_per_atom": 150,
  "vol_a3_per_atom": 25.04,
  "total_energy_ev_per_atom": -6.04
}